# YUS2

A relaxed YUS2 crystal (PBE, Alexandria).

Unit cell a=3.8445 b=3.8445 c=19.5677 alpha=90.00 beta=90.00 gamma=120.00
Last column: nearest neighbours and their distance in Å.
Space group R-3m (No. 166, hexagonal axes)
Symmetry-distinct sites (fractional):
1 Y 0.0000 0.0000 0.0000 [3 per cell]  6 S 2.75
2 U 0.0000 0.0000 0.5000 [3 per cell]  6 S 2.76
3 S 0.0000 0.0000 0.2503 [6 per cell]  3 Y 2.75, 3 U 2.76

Properties
- N(E_F): 4.84 states/eV/f.u.
- E: -98.1 eV for the cell shown

# Sc2PaSb

A relaxed Sc2PaSb crystal (PBE, Alexandria).

Unit cell a=3.3359 b=3.3359 c=30.1321 alpha=90.00 beta=90.00 gamma=120.00
Last column: nearest neighbours and their distance in Å.
Space group R-3m (No. 166, hexagonal axes)
Symmetry-distinct sites (fractional):
1 Sc 0.0000 0.0000 0.2465 [6 per cell]  3 Sb 3.08, 3 Pa 3.25, 6 Sc 3.34
2 Pa 0.0000 0.0000 0.0000 [3 per cell]  6 Sc 3.25, 6 Pa 3.34
3 Sb 0.0000 0.0000 0.5000 [3 per cell]  6 Sc 3.08, 6 Sb 3.34

Properties
- N(E_F): 5.67 states/eV/f.u.
- E: -81.2 eV for the cell shown

# AlBPt

A relaxed AlBPt crystal (PBE, Alexandria).

Unit cell a=3.0924 b=11.8793 c=4.1500 alpha=90.00 beta=90.00 gamma=90.00
Last column: nearest neighbours and their distance in Å.
Space group Cmcm (No. 63)
Symmetry-distinct sites (fractional):
1 Al 0.0000 0.0734 0.2500 [4 per cell]  2 B 2.36
2 B 0.0000 0.2767 0.7500 [4 per cell]  4 Pt 2.17-2.26, 2 Al 2.36
3 Pt 0.0000 0.3519 0.2500 [4 per cell]  4 B 2.17-2.26

Properties
- N(E_F): 0.78 states/eV/f.u.
- E: -66.7 eV for the cell shown
- DFT formation energy: -0.073 eV per atom

# CaTaTeH2

A relaxed CaTaTeH2 crystal (PBE, Alexandria).

Unit cell a=4.0724 b=4.0724 c=6.9447 alpha=90.00 beta=90.00 gamma=90.00
Last column: nearest neighbours and their distance in Å.
Space group P4/mmm (No. 123)
Symmetry-distinct sites (fractional):
1 Ca 0.0000 0.0000 0.0000 [1 per cell]  4 Te 2.88
2 Ta 0.0000 0.0000 0.5000 [1 per cell]  4 H 2.04
3 Te 0.5000 0.5000 0.0000 [1 per cell]  4 Ca 2.88
4 H 0.0000 0.5000 0.5000 [2 per cell]  2 Ta 2.04

Properties
- N(E_F): 5.05 states/eV/f.u.
- E: -21.5 eV for the cell shown

# PaSn2Se6

A relaxed PaSn2Se6 crystal (PBE, Alexandria).

Unit cell a=13.2733 b=4.2241 c=11.0730 alpha=90.00 beta=108.56 gamma=90.00
Last column: nearest neighbours and their distance in Å.
Space group C2/m (No. 12)
Symmetry-distinct sites (fractional):
1 Pa 0.0000 0.0000 0.0000 [2 per cell]  6 Se 2.73-2.85
2 Sn 0.1857 0.0000 0.7211 [4 per cell]  4 Se 2.60-2.73
3 Se 0.9999 0.0000 0.2468 [4 per cell]  1 Sn 2.60, 1 Pa 2.73
4 Se 0.1518 0.5000 0.0538 [4 per cell]  1 Sn 2.73, 2 Pa 2.85
5 Se 0.2079 0.5000 0.5907 [4 per cell]  2 Sn 2.63

Properties
- N(E_F): 3.91 states/eV/f.u.
- E: -87.4 eV for the cell shown

# Dy3ScPd3

A relaxed Dy3ScPd3 crystal (PBE, Alexandria).

Unit cell a=9.0542 b=10.2637 c=7.0292 alpha=90.00 beta=92.97 gamma=90.00
Last column: nearest neighbours and their distance in Å.
Space group C2/m (No. 12)
Symmetry-distinct sites (fractional):
1 Dy 0.0000 0.1747 0.0000 [4 per cell]  6 Pd 2.75-2.94
2 Dy 0.0000 0.2571 0.5000 [4 per cell]  6 Pd 3.01-3.03
3 Dy 0.1520 0.5000 0.8688 [4 per cell]  3 Pd 2.94-3.01
4 Sc 0.2432 0.5000 0.3801 [4 per cell]  3 Pd 2.63-2.71
5 Pd 0.0625 0.0000 0.3136 [4 per cell]  2 Sc 2.71-2.95, 5 Dy 2.88-3.01, 1 Pd 2.91
6 Pd 0.2378 0.2696 0.2169 [8 per cell]  1 Sc 2.63, 1 Dy 2.75

Properties
- N(E_F): 5.06 states/eV/f.u.
- E: -162.3 eV for the cell shown
- DFT formation energy: -0.693 eV per atom